NiGe2OsF: optimized geometry, GGA+U.

a = 4.3818 Å, b = 4.7687 Å, c = 4.3818 Å
α = 90.00°, β = 90.00°, γ = 90.00°
Fractional coordinates of all 5 atoms:
Ni: 0.0000 0.0000 0.0000
Ge: 0.0000 0.0000 0.5000
Ge: 0.5000 0.0000 0.0000
Os: 0.0000 0.5000 0.0000
F: 0.5000 0.5000 0.5000

## Properties
Total energy, eV/atom: -4.002
Spin magnetization, μB per atom: 0.6776